Below is a geometry-optimized Tb8AgC4 structure, with properties calculated at the PBE-GGA level.

Computed properties:
The energy of formation from the pure elements is -200 meV/atom. Its size of the total moment is 0.000 μB per atom.

CIF file:
```
data_Tb8AgC4
_chemical_formula_sum 'Tb16 Ag2 C8'
_space_group_name_H-M_alt 'C 1 2/m 1'
_space_group_IT_number 12
_cell_length_a 17.789
_cell_length_b 3.642
_cell_length_c 12.562
_cell_angle_alpha 90.00
_cell_angle_beta 134.84
_cell_angle_gamma 90.00
loop_
_space_group_symop_operation_xyz
'x,y,z'
'-x,-y,-z'
'-x,y,-z'
'x,-y,z'
'x+1/2,y+1/2,z'
'-x+1/2,-y+1/2,-z'
'-x+1/2,y+1/2,-z'
'x+1/2,-y+1/2,z'
loop_
_atom_site_label
_atom_site_fract_x
_atom_site_fract_y
_atom_site_fract_z
Tb1 0.045 0.000 0.206
Tb2 0.149 0.500 0.833
Tb3 0.158 0.500 0.113
Tb4 0.185 0.500 0.537
Ag1 0.000 0.000 0.500
C1 0.155 0.000 0.976
C2 0.178 0.500 0.334
```

Below is a geometry-optimized PmAl2Rh2 structure, with properties calculated at the PBE-GGA level.

Computed properties:
The energy of formation from the pure elements is -880 meV/atom. Its size of the total moment is 0.000 μB per atom.

CIF file:
```
data_PmAl2Rh2
_chemical_formula_sum 'Pm4 Al8 Rh8'
_space_group_name_H-M_alt 'I 4/m m m'
_space_group_IT_number 139
_space_group_name_Hall '-I 4 2'
_cell_length_a 4.228
_cell_length_b 4.228
_cell_length_c 20.760
_cell_angle_alpha 90.00
_cell_angle_beta 90.00
_cell_angle_gamma 90.00
loop_
_atom_site_label
_atom_site_fract_x
_atom_site_fract_y
_atom_site_fract_z
Pm1 0.000 0.000 0.131
Al1 0.000 0.000 0.311
Al2 0.000 0.500 0.000
Rh1 0.000 0.000 0.431
Rh2 0.000 0.500 0.250
```

Below is a geometry-optimized Nd12Cd6Sn structure, with properties calculated at the PBE-GGA level.

Computed properties:
The energy of formation from the pure elements is -157 meV/atom. Its size of the total moment is 0.000 μB per atom.

CIF file:
```
data_Nd12Cd6Sn
_chemical_formula_sum 'Nd36 Cd18 Sn3'
_space_group_name_H-M_alt 'R -3'
_space_group_IT_number 148
_space_group_name_Hall '-R 3'
_cell_length_a 11.6336
_cell_length_b 11.6336
_cell_length_c 14.6678
_cell_angle_alpha 90.00
_cell_angle_beta 90.00
_cell_angle_gamma 120.00
loop_
_atom_site_label
_atom_site_fract_x
_atom_site_fract_y
_atom_site_fract_z
Nd1 0.0589 0.8711 0.3130
Nd2 0.0700 0.2189 0.9091
Cd1 0.0347 0.5905 0.2050
Sn1 0.0000 0.0000 0.5000
```

Below is a geometry-optimized K3HoIn2O6 structure, with properties calculated at the PBE-GGA level.

Computed properties:
As for the formation energy (no corrections): -1.955 eV per atom. Its size of the total moment is 0.000 μB per atom.

CIF file:
```
data_K3HoIn2O6
_chemical_formula_sum 'K6 Ho2 In4 O12'
_space_group_name_H-M_alt 'C 1 2/m 1'
_space_group_IT_number 12
_cell_length_a 5.869
_cell_length_b 10.166
_cell_length_c 6.533
_cell_angle_alpha 90.00
_cell_angle_beta 107.40
_cell_angle_gamma 90.00
loop_
_space_group_symop_operation_xyz
'x,y,z'
'-x,-y,-z'
'-x,y,-z'
'x,-y,z'
'x+1/2,y+1/2,z'
'-x+1/2,-y+1/2,-z'
'-x+1/2,y+1/2,-z'
'x+1/2,-y+1/2,z'
loop_
_atom_site_label
_atom_site_fract_x
_atom_site_fract_y
_atom_site_fract_z
K1 0.000 0.000 0.000
K2 0.000 0.331 0.000
Ho1 0.000 0.500 0.500
In1 0.000 0.167 0.500
O1 0.225 0.000 0.688
O2 0.232 0.331 0.688
```

- Number 3 is which compound?
  Nd12Cd6Sn

- size of the total moment of number 3 (Nd12Cd6Sn)?
  0.000 μB per atom

What did the third record say?
Below is a geometry-optimized Nd12Cd6Sn structure, with properties calculated at the PBE-GGA level.

Computed properties:
The energy of formation from the pure elements is -157 meV/atom. Its size of the total moment is 0.000 μB per atom.

CIF file:
```
data_Nd12Cd6Sn
_chemical_formula_sum 'Nd36 Cd18 Sn3'
_space_group_name_H-M_alt 'R -3'
_space_group_IT_number 148
_space_group_name_Hall '-R 3'
_cell_length_a 11.6336
_cell_length_b 11.6336
_cell_length_c 14.6678
_cell_angle_alpha 90.00
_cell_angle_beta 90.00
_cell_angle_gamma 120.00
loop_
_atom_site_label
_atom_site_fract_x
_atom_site_fract_y
_atom_site_fract_z
Nd1 0.0589 0.8711 0.3130
Nd2 0.0700 0.2189 0.9091
Cd1 0.0347 0.5905 0.2050
Sn1 0.0000 0.0000 0.5000
```